Entry 1:
A geometry-optimized RbEu2I5 structure. Source: Alexandria via LeMat-Bulk, functional PBE.

Output
* crystal system: monoclinic
* ΔE_f (raw): -1574 meV/atom

a = 10.124 Å, b = 9.094 Å, c = 14.417 Å
α = 90.00°, β = 90.27°, γ = 90.00°
Sites, in units of the cell vectors:
1 Rb 0.008 0.052 0.331
2 Rb 0.008 0.448 0.831
3 Rb 0.992 0.552 0.169
4 Rb 0.992 0.948 0.669
5 Eu 0.254 0.572 0.494
6 Eu 0.254 0.928 0.994
7 Eu 0.496 0.524 0.181
8 Eu 0.496 0.976 0.681
9 Eu 0.504 0.024 0.319
10 Eu 0.504 0.476 0.819
11 Eu 0.746 0.072 0.006
12 Eu 0.746 0.428 0.506
13 I 0.036 0.174 0.081
14 I 0.036 0.326 0.581
15 I 0.274 0.689 0.715
16 I 0.274 0.811 0.215
17 I 0.284 0.163 0.818
18 I 0.284 0.337 0.318
19 I 0.289 0.546 0.997
20 I 0.289 0.954 0.497
21 I 0.459 0.161 0.100
22 I 0.459 0.339 0.600
23 I 0.541 0.661 0.400
24 I 0.541 0.839 0.900
25 I 0.711 0.046 0.503
26 I 0.711 0.454 0.003
27 I 0.716 0.663 0.682
28 I 0.716 0.837 0.182
29 I 0.726 0.189 0.785
30 I 0.726 0.311 0.285
31 I 0.964 0.674 0.419
32 I 0.964 0.826 0.919

=====

Entry 2:
A geometry-optimized Li2Ca4Al structure. Source: Alexandria via LeMat-Bulk, functional PBE.

Output
* crystal system: trigonal

a = 9.252 Å, b = 9.252 Å, c = 9.252 Å
α = 33.87°, β = 33.87°, γ = 33.87°
Sites, in units of the cell vectors:
1 Li 0.240 0.240 0.240
2 Li 0.760 0.760 0.760
3 Ca 0.122 0.122 0.122
4 Ca 0.374 0.374 0.374
5 Ca 0.626 0.626 0.626
6 Ca 0.878 0.878 0.878
7 Al 0.500 0.500 0.500

=====

Entry 3:
A geometry-optimized Te4I structure. Source: Alexandria via LeMat-Bulk, functional PBE.

Output
* crystal system: triclinic
* ΔE_f (raw): 56 meV/atom
* distance to the lowest polymorph of the same formula: 0.000 eV/atom

a = 5.854 Å, b = 6.804 Å, c = 6.833 Å
α = 104.92°, β = 115.08°, γ = 90.40°
Sites, in units of the cell vectors:
1 Te 0.123 0.451 0.248
2 Te 0.368 0.436 0.738
3 Te 0.632 0.564 0.262
4 Te 0.877 0.549 0.752
5 I 0.000 0.000 0.000

=====

Entry 4:
A geometry-optimized PmCd2In2Ag2 structure. Source: Alexandria via LeMat-Bulk, functional PBE.

Output
* crystal system: monoclinic

a = 5.104 Å, b = 5.104 Å, c = 7.742 Å
α = 99.14°, β = 99.14°, γ = 54.37°
Sites, in units of the cell vectors:
1 Pm 0.000 0.000 0.000
2 Cd 0.411 0.411 0.302
3 Cd 0.589 0.589 0.698
4 In 0.291 0.291 0.795
5 In 0.709 0.709 0.205
6 Ag 0.129 0.129 0.425
7 Ag 0.871 0.871 0.575

=====

Entry 5:
A geometry-optimized Sc4ZnHg structure. Source: Alexandria via LeMat-Bulk, functional PBE.

Output
* crystal system: cubic
* distance to the lowest polymorph of the same formula: 0.279 eV/atom

a = 5.784 Å, b = 5.784 Å, c = 5.784 Å
α = 60.00°, β = 60.00°, γ = 60.00°
Sites, in units of the cell vectors:
1 Sc 0.125 0.125 0.125
2 Sc 0.125 0.125 0.626
3 Sc 0.125 0.626 0.125
4 Sc 0.626 0.125 0.125
5 Zn 0.750 0.750 0.750
6 Hg 0.500 0.500 0.500

=====

Entry 6:
A geometry-optimized CaTe2Pt structure. Source: Alexandria via LeMat-Bulk, functional PBE.

Output
* crystal system: orthorhombic
* ΔE_f (raw): -858 meV/atom
* distance to the lowest polymorph of the same formula: 0.000 eV/atom

a = 7.111 Å, b = 7.111 Å, c = 7.111 Å
α = 147.46°, β = 138.28°, γ = 53.88°
Sites, in units of the cell vectors:
1 Ca 0.000 0.000 0.000
2 Te 0.356 0.856 0.500
3 Te 0.644 0.144 0.500
4 Pt 0.500 0.500 0.000

=====

Entry 7:
A geometry-optimized CaTaTe structure. Source: Alexandria via LeMat-Bulk, functional PBE.

Output
* crystal system: trigonal
* ΔE_f (raw): 32 meV/atom
* distance to the lowest polymorph of the same formula: 0.372 eV/atom

a = 3.585 Å, b = 3.585 Å, c = 6.970 Å
α = 90.00°, β = 90.00°, γ = 120.00°
Sites, in units of the cell vectors:
1 Ca 0.000 0.000 0.000
2 Ta 0.667 0.333 0.362
3 Te 0.333 0.667 0.629

=====

Entry 8:
A geometry-optimized Pu3As4Pd2 structure. Source: Alexandria via LeMat-Bulk, functional PBE.

Output
* crystal system: monoclinic
* distance to the lowest polymorph of the same formula: 0.000 eV/atom

a = 7.683 Å, b = 7.683 Å, c = 6.814 Å
α = 111.03°, β = 111.03°, γ = 30.79°
Sites, in units of the cell vectors:
1 Pu 0.000 0.000 0.000
2 Pu 0.137 0.137 0.585
3 Pu 0.863 0.863 0.415
4 As 0.208 0.208 0.236
5 As 0.492 0.492 0.300
6 As 0.508 0.508 0.700
7 As 0.792 0.792 0.764
8 Pd 0.321 0.321 0.011
9 Pd 0.679 0.679 0.989

=====

Entry 9:
A geometry-optimized LiCeCdRu structure. Source: Alexandria via LeMat-Bulk, functional PBE.

Output
* crystal system: cubic

a = 4.783 Å, b = 4.783 Å, c = 4.783 Å
α = 60.00°, β = 60.00°, γ = 60.00°
Sites, in units of the cell vectors:
1 Li 0.000 0.000 0.000
2 Ce 0.250 0.250 0.250
3 Cd 0.750 0.750 0.750
4 Ru 0.500 0.500 0.500

=====

The records above give, respectively, magnetic moment values of 14.00, 0.00, 0.00, 0.00, 0.00, 0.00, 0.74, 15.03, 0.24 μB/f.u..
The records above give, respectively, E_tot values of -5.232, -2.221, -2.767, -2.728, -4.219, -4.440, -5.634, -8.797, -4.588 eV per atom.